# K3Ac3SbSe8, optimized geometry, DFT PBE-GGA
data_K3Ac3SbSe8
_chemical_formula_sum 'K3 Ac3 Sb1 Se8'
_cell_length_a 9.393
_cell_length_b 9.393
_cell_length_c 9.393
_cell_angle_alpha 56.93
_cell_angle_beta 56.93
_cell_angle_gamma 56.93
_space_group_name_H-M_alt 'P 1'
_space_group_IT_number 1
_space_group_name_Hall 'P 1'
loop_
_atom_site_label
_atom_site_fract_x
_atom_site_fract_y
_atom_site_fract_z
K1 0.000 0.500 0.500
K2 0.500 0.000 0.500
K3 0.500 0.500 0.000
Ac1 0.000 0.000 0.500
Ac2 0.000 0.500 0.000
Ac3 0.500 0.000 0.000
Sb1 0.500 0.500 0.500
Se1 0.240 0.240 0.240
Se2 0.264 0.720 0.720
Se3 0.280 0.280 0.736
Se4 0.280 0.736 0.280
Se5 0.720 0.264 0.720
Se6 0.720 0.720 0.264
Se7 0.736 0.280 0.280
Se8 0.760 0.760 0.760
# space group = No. 166
# theoretical density = 4.7 g/cm3
# formation energy (no corrections) = -33.46 kcal/mol of atoms
# M_tot = 0.00 μB per formula unit



# K3AcSb2Te6, optimized geometry, DFT PBE-GGA
data_K3AcSb2Te6
_chemical_formula_sum 'K3 Ac1 Sb2 Te6'
_cell_length_a 8.025
_cell_length_b 8.025
_cell_length_c 8.721
_cell_angle_alpha 98.88
_cell_angle_beta 98.88
_cell_angle_gamma 120.05
_space_group_name_H-M_alt 'P 1'
_space_group_IT_number 1
_space_group_name_Hall 'P 1'
loop_
_atom_site_label
_atom_site_fract_x
_atom_site_fract_y
_atom_site_fract_z
K1 0.000 0.000 0.000
K2 0.337 0.663 0.000
K3 0.663 0.337 0.000
Ac1 0.500 0.500 0.500
Sb1 0.167 0.833 0.500
Sb2 0.833 0.167 0.500
Te1 0.076 0.429 0.289
Te2 0.218 0.218 0.711
Te3 0.429 0.076 0.289
Te4 0.571 0.924 0.711
Te5 0.782 0.782 0.289
Te6 0.924 0.571 0.711
# space group = No. 12
# theoretical density = 4.9 g/cm3
# formation energy (no corrections) = -19.32 kcal/mol of atoms
# M_tot = 0.00 μB per formula unit



> Which value of theoretical density does entry 1 give?

4.7 g/cm3



> Which of these has the lowest formation energy (no corrections)?

K3Ac3SbSe8



> The lowest formation energy (no corrections) belongs to which entry?

K3Ac3SbSe8



Copy entry 2 word for word.
# K3AcSb2Te6, optimized geometry, DFT PBE-GGA
data_K3AcSb2Te6
_chemical_formula_sum 'K3 Ac1 Sb2 Te6'
_cell_length_a 8.025
_cell_length_b 8.025
_cell_length_c 8.721
_cell_angle_alpha 98.88
_cell_angle_beta 98.88
_cell_angle_gamma 120.05
_space_group_name_H-M_alt 'P 1'
_space_group_IT_number 1
_space_group_name_Hall 'P 1'
loop_
_atom_site_label
_atom_site_fract_x
_atom_site_fract_y
_atom_site_fract_z
K1 0.000 0.000 0.000
K2 0.337 0.663 0.000
K3 0.663 0.337 0.000
Ac1 0.500 0.500 0.500
Sb1 0.167 0.833 0.500
Sb2 0.833 0.167 0.500
Te1 0.076 0.429 0.289
Te2 0.218 0.218 0.711
Te3 0.429 0.076 0.289
Te4 0.571 0.924 0.711
Te5 0.782 0.782 0.289
Te6 0.924 0.571 0.711
# space group = No. 12
# theoretical density = 4.9 g/cm3
# formation energy (no corrections) = -19.32 kcal/mol of atoms
# M_tot = 0.00 μB per formula unit